# 1
! PBE ThMgPbAu, optimized geometry; values from VASP
! symmetry	No. 216
! spin magnetization	0.00	Bohr magnetons per cell
! energy of formation from the pure elements	-344	meV/atom
! DFT total energy	-17.377	eV for the cell shown
&SYSTEM
  ibrav = 0, nat = 4, ntyp = 4
/
ATOMIC_SPECIES
Th 232.04 Th.upf
Mg 24.30 Mg.upf
Pb 207.20 Pb.upf
Au 196.97 Au.upf
ATOMIC_POSITIONS crystal
Th 0.0000 0.0000 0.0000
Mg 0.5000 0.5000 0.5000
Pb 0.2500 0.2500 0.2500
Au 0.7500 0.7500 0.7500
CELL_PARAMETERS angstrom
0.0000 3.7010 3.7010
3.7010 0.0000 3.7010
3.7010 3.7010 0.0000

=====

# 2
! PBE Mg2ZnPbAu4, optimized geometry; values from VASP
! symmetry	No. 166
! spin magnetization	0.00	Bohr magnetons per cell
! energy of formation from the pure elements	-339	meV/atom
! DFT total energy	-23.990	eV for the cell shown
&SYSTEM
  ibrav = 0, nat = 8, ntyp = 4
/
ATOMIC_SPECIES
Mg 24.30 Mg.upf
Zn 65.41 Zn.upf
Pb 207.20 Pb.upf
Au 196.97 Au.upf
ATOMIC_POSITIONS crystal
Mg 0.2428 0.2428 0.2428
Mg 0.7572 0.7572 0.7572
Zn 0.5000 0.5000 0.5000
Pb 0.0000 0.0000 0.0000
Au 0.1328 0.1328 0.1328
Au 0.3937 0.3937 0.3937
Au 0.6063 0.6063 0.6063
Au 0.8672 0.8672 0.8672
CELL_PARAMETERS angstrom
2.3085 1.3328 8.5106
-2.3085 1.3328 8.5106
0.0000 -2.6656 8.5106

=====

# 3
! PBE MgZn2PbAu4, optimized geometry; values from VASP
! symmetry	No. 166
! spin magnetization	0.00	Bohr magnetons per cell
! energy of formation from the pure elements	-235	meV/atom
! DFT total energy	-22.841	eV for the cell shown
&SYSTEM
  ibrav = 0, nat = 8, ntyp = 4
/
ATOMIC_SPECIES
Mg 24.30 Mg.upf
Zn 65.41 Zn.upf
Pb 207.20 Pb.upf
Au 196.97 Au.upf
ATOMIC_POSITIONS crystal
Mg 0.0000 0.0000 0.0000
Zn 0.2625 0.2625 0.2625
Zn 0.7375 0.7375 0.7375
Pb 0.5000 0.5000 0.5000
Au 0.1044 0.1044 0.1044
Au 0.3721 0.3721 0.3721
Au 0.6279 0.6279 0.6279
Au 0.8956 0.8956 0.8956
CELL_PARAMETERS angstrom
2.2686 1.3098 8.7197
-2.2686 1.3098 8.7197
0.0000 -2.6195 8.7197

=====

# 4
! PBE Mg2Pd2Au, optimized geometry; values from VASP
! relative energy among the computed polymorphs	0.00	kJ/mol of atoms
! symmetry	No. 36
! spin magnetization	0.00	Bohr magnetons per cell
! energy of formation from the pure elements	-592	meV/atom
! DFT total energy	-39.629	eV for the cell shown
&SYSTEM
  ibrav = 0, nat = 10, ntyp = 3
/
ATOMIC_SPECIES
Mg 24.30 Mg.upf
Pd 106.42 Pd.upf
Au 196.97 Au.upf
ATOMIC_POSITIONS crystal
Mg 0.0834 0.9166 0.5000
Mg 0.2969 0.7031 0.6985
Mg 0.7031 0.2969 0.1985
Mg 0.9166 0.0834 0.0000
Pd 0.3136 0.6864 0.1856
Pd 0.4895 0.5105 0.7723
Pd 0.5105 0.4895 0.2723
Pd 0.6864 0.3136 0.6856
Au 0.1153 0.8847 0.9903
Au 0.8847 0.1153 0.4903
CELL_PARAMETERS angstrom
2.1762 -6.9470 0.0000
2.1762 6.9470 0.0000
0.0000 0.0000 5.5483

=====

# 5
! PBE MgPd7Au4, optimized geometry; values from VASP
! relative energy among the computed polymorphs	0.00	kJ/mol of atoms
! symmetry	No. 2
! spin magnetization	0.00	Bohr magnetons per cell
! energy of formation from the pure elements	-225	meV/atom
! DFT total energy	-53.753	eV for the cell shown
&SYSTEM
  ibrav = 0, nat = 12, ntyp = 3
/
ATOMIC_SPECIES
Mg 24.30 Mg.upf
Pd 106.42 Pd.upf
Au 196.97 Au.upf
ATOMIC_POSITIONS crystal
Mg 0.0000 0.0000 0.0000
Pd 0.0000 0.5000 0.0000
Pd 0.1686 0.9181 0.3283
Pd 0.3297 0.3290 0.6719
Pd 0.4997 0.2474 0.9991
Pd 0.5003 0.7526 0.0009
Pd 0.6703 0.6710 0.3281
Pd 0.8314 0.0819 0.6717
Au 0.1697 0.4202 0.3306
Au 0.3308 0.8335 0.6693
Au 0.6692 0.1665 0.3307
Au 0.8303 0.5798 0.6694
CELL_PARAMETERS angstrom
4.9143 0.0000 0.0000
0.0007 5.7074 0.0000
2.4533 1.4707 6.9790

=====

# 6
! PBE Mg4Pd7Au, optimized geometry; values from VASP
! relative energy among the computed polymorphs	0.00	kJ/mol of atoms
! symmetry	No. 2
! spin magnetization	0.00	Bohr magnetons per cell
! energy of formation from the pure elements	-530	meV/atom
! DFT total energy	-52.364	eV for the cell shown
&SYSTEM
  ibrav = 0, nat = 12, ntyp = 3
/
ATOMIC_SPECIES
Mg 24.30 Mg.upf
Pd 106.42 Pd.upf
Au 196.97 Au.upf
ATOMIC_POSITIONS crystal
Mg 0.1818 0.1598 0.3223
Mg 0.3132 0.5641 0.6806
Mg 0.6868 0.4359 0.3194
Mg 0.8182 0.8402 0.6777
Pd 0.0041 0.7509 0.0001
Pd 0.1788 0.6584 0.3433
Pd 0.3214 0.0798 0.6570
Pd 0.5000 0.5000 0.0000
Pd 0.6786 0.9202 0.3430
Pd 0.8212 0.3416 0.6567
Pd 0.9959 0.2491 0.9999
Au 0.5000 0.0000 0.0000
CELL_PARAMETERS angstrom
5.0420 0.0000 0.0000
0.0296 5.5556 0.0000
2.1339 1.4322 6.9063